Model one:
# LiNbO4, optimized geometry, DFT PBE
# **Volume**: 11.10 Å³ per atom
data_LiNbO4
_cell_length_a 6.5603
_cell_length_b 6.5323
_cell_length_c 3.1090
_cell_angle_alpha 90.00
_cell_angle_beta 90.13
_cell_angle_gamma 90.00
_symmetry_space_group_name_H-M 'C 1 m 1'
_symmetry_Int_Tables_number 8
loop_
_symmetry_equiv_pos_as_xyz
'x,y,z'
'x,-y,z'
'x+1/2,y+1/2,z'
'x+1/2,-y+1/2,z'
loop_
_atom_site_label
_atom_site_fract_x
_atom_site_fract_y
_atom_site_fract_z
Li1 0.0000 0.0000 0.0000
Nb1 0.9998 0.5000 0.5705
O1 0.9998 0.2047 0.4867
O2 0.2006 0.5000 0.0347
O3 0.2995 0.0000 0.0332


Model two:
# LiNbO4, optimized geometry, DFT PBE
# **Volume**: 11.47 Å³ per atom
data_LiNbO4
_cell_length_a 5.6795
_cell_length_b 10.1952
_cell_length_c 10.9113
_cell_angle_alpha 115.54
_cell_angle_beta 101.99
_cell_angle_gamma 92.81
_symmetry_space_group_name_H-M 'P 1'
_symmetry_Int_Tables_number 1
loop_
_symmetry_equiv_pos_as_xyz
'x,y,z'
loop_
_atom_site_label
_atom_site_fract_x
_atom_site_fract_y
_atom_site_fract_z
Li1 0.0000 0.0000 0.0000
Li2 0.0017 0.7069 0.7349
Li3 0.2931 0.7233 0.0178
Li4 0.4939 0.2138 0.7660
Li5 0.5444 0.5060 0.0503
Li6 0.7198 0.2438 0.0752
Li7 0.8283 0.9736 0.6925
Li8 0.9339 0.4567 0.4309
Nb1 0.0882 0.3102 0.9391
Nb2 0.0995 0.6183 0.2183
Nb3 0.2110 0.8882 0.5148
Nb4 0.3480 0.3381 0.2479
Nb5 0.4325 0.8923 0.8367
Nb6 0.4608 0.6167 0.5437
Nb7 0.5802 0.0587 0.2140
Nb8 0.9777 0.1606 0.5639
O1 0.0284 0.3874 0.1516
O2 0.1163 0.6514 0.4291
O3 0.1167 0.8797 0.6921
O4 0.1666 0.3024 0.7713
O5 0.2049 0.5572 0.0454
O6 0.2339 0.8528 0.9335
O7 0.2452 0.8263 0.3290
O8 0.2552 0.1260 0.1826
O9 0.2902 0.4068 0.4324
O10 0.3051 0.0966 0.5697
O11 0.3276 0.6563 0.7006
O12 0.3909 0.0789 0.8361
O13 0.4086 0.3280 0.0559
O14 0.4419 0.5727 0.3307
O15 0.5118 0.8731 0.1800
O16 0.5209 0.8442 0.6196
O17 0.6098 0.6603 0.9398
O18 0.6285 0.1489 0.4388
O19 0.6683 0.0365 0.0461
O20 0.6736 0.3107 0.2751
O21 0.7114 0.4656 0.8031
O22 0.7443 0.3884 0.9113
O23 0.7620 0.8125 0.8410
O24 0.7640 0.1608 0.6821
O25 0.7733 0.5835 0.5677
O26 0.7893 0.6422 0.1880
O27 0.7994 0.7356 0.9490
O28 0.8890 0.9379 0.4915
O29 0.9016 0.5302 0.8035
O30 0.9289 0.1340 0.9090
O31 0.9322 0.1053 0.3477
O32 0.9442 0.3313 0.5270


Model three:
# LiNbO4, optimized geometry, DFT PBE
# **Volume**: 11.14 Å³ per atom
data_LiNbO4
_cell_length_a 4.6416
_cell_length_b 5.7493
_cell_length_c 5.0074
_cell_angle_alpha 90.00
_cell_angle_beta 90.25
_cell_angle_gamma 90.00
_symmetry_space_group_name_H-M 'P 1 2/c 1'
_symmetry_Int_Tables_number 13
loop_
_symmetry_equiv_pos_as_xyz
'x,y,z'
'-x,-y,-z'
'-x,y,-z+1/2'
'x,-y,z+1/2'
loop_
_atom_site_label
_atom_site_fract_x
_atom_site_fract_y
_atom_site_fract_z
Li1 0.0000 0.1549 0.2500
Nb1 0.5000 0.3114 0.7500
O1 0.2187 0.1220 0.9029
O2 0.2896 0.3812 0.4043


Model four:
# LiNbO4, optimized geometry, DFT PBE
# **Volume**: 11.30 Å³ per atom
data_LiNbO4
_cell_length_a 3.0924
_cell_length_b 9.3380
_cell_length_c 9.4292
_cell_angle_alpha 90.13
_cell_angle_beta 92.29
_cell_angle_gamma 94.73
_symmetry_space_group_name_H-M 'P -1'
_symmetry_Int_Tables_number 2
loop_
_symmetry_equiv_pos_as_xyz
'x,y,z'
'-x,-y,-z'
loop_
_atom_site_label
_atom_site_fract_x
_atom_site_fract_y
_atom_site_fract_z
Li1 0.0024 0.0013 0.2496
Li2 0.0029 0.4996 0.2500
Nb1 0.3802 0.7618 0.5087
Nb2 0.3846 0.7613 0.0096
O1 0.0839 0.1662 0.1105
O2 0.0854 0.1634 0.6103
O3 0.1080 0.3576 0.9058
O4 0.1091 0.3569 0.4054
O5 0.3702 0.3894 0.6342
O6 0.3868 0.3913 0.1361
O7 0.4855 0.9028 0.6373
O8 0.4902 0.9039 0.1366


Short version: model two is the most stable of them.


Model one:
# LiNbSeO, optimized geometry, DFT PBE
# **Volume**: 13.81 Å³ per atom
data_LiNbSeO
_cell_length_a 3.1704
_cell_length_b 3.1704
_cell_length_c 12.6906
_cell_angle_alpha 90.00
_cell_angle_beta 90.00
_cell_angle_gamma 120.00
_symmetry_space_group_name_H-M 'P -6 m 2'
_symmetry_Int_Tables_number 187
_symmetry_space_group_name_Hall 'P -6 2'
loop_
_atom_site_label
_atom_site_fract_x
_atom_site_fract_y
_atom_site_fract_z
Li1 0.0000 0.0000 0.2137
Nb1 0.0000 0.0000 0.0000
Nb2 0.0000 0.0000 0.5000
Se1 0.3333 0.6667 0.3578
O1 0.6667 0.3333 0.1018


Model two:
# LiNbSeO, optimized geometry, DFT PBE
# **Volume**: 16.06 Å³ per atom
data_LiNbSeO
_cell_length_a 3.3366
_cell_length_b 6.5505
_cell_length_c 5.8782
_cell_angle_alpha 90.00
_cell_angle_beta 90.00
_cell_angle_gamma 90.00
_symmetry_space_group_name_H-M 'P m c 21'
_symmetry_Int_Tables_number 26
loop_
_symmetry_equiv_pos_as_xyz
'x,y,z'
'-x,-y,z+1/2'
'-x,y,z'
'x,-y,z+1/2'
loop_
_atom_site_label
_atom_site_fract_x
_atom_site_fract_y
_atom_site_fract_z
Li1 0.0000 0.1351 0.0000
Nb1 0.5000 0.4979 0.2795
Se1 0.0000 0.2603 0.5300
O1 0.5000 0.2768 0.0286


Short version: model one is the most stable of them.


Model one:
# LiNbOs, optimized geometry, DFT PBE
# **Volume**: 17.89 Å³ per atom
data_LiNbOs
_cell_length_a 5.9881
_cell_length_b 5.9881
_cell_length_c 5.9881
_cell_angle_alpha 90.00
_cell_angle_beta 90.00
_cell_angle_gamma 90.00
_symmetry_space_group_name_H-M 'F -4 3 m'
_symmetry_Int_Tables_number 216
_symmetry_space_group_name_Hall 'F -4 2 3'
loop_
_atom_site_label
_atom_site_fract_x
_atom_site_fract_y
_atom_site_fract_z
Li1 0.0000 0.0000 0.0000
Nb1 0.0000 0.0000 0.5000
Os1 0.2500 0.2500 0.2500


Model two:
# LiNbOs, optimized geometry, DFT PBE
# **Volume**: 17.99 Å³ per atom
data_LiNbOs
_cell_length_a 5.9991
_cell_length_b 5.9991
_cell_length_c 5.9991
_cell_angle_alpha 90.00
_cell_angle_beta 90.00
_cell_angle_gamma 90.00
_symmetry_space_group_name_H-M 'F -4 3 m'
_symmetry_Int_Tables_number 216
_symmetry_space_group_name_Hall 'F -4 2 3'
loop_
_atom_site_label
_atom_site_fract_x
_atom_site_fract_y
_atom_site_fract_z
Li1 0.0000 0.0000 0.0000
Nb1 0.2500 0.2500 0.2500
Os1 0.0000 0.0000 0.5000


Short version: model one is the most stable of them.